1) The following is a GGA-PBE calculation of a relaxed TlCr2Br crystal, from the Alexandria database.

The magnetic moment is 8.6 μB/f.u. The density is 7.340 g cm⁻³.

It has space group R-3m (No. 166, hexagonal axes), with a = 3.5172 Å, b = 3.5172 Å, c = 24.5966 Å, α = 90.00°, β = 90.00° and γ = 120.00°. The distinct sites, in fractional coordinates, are Tl at (0.0000, 0.0000, 0.0000), Cr at (0.0000, 0.0000, 0.2480) and Br at (0.0000, 0.0000, 0.5000).

---

2) The following is a GGA-PBE calculation of a relaxed TlCr2Br crystal, from the Alexandria database.

The magnetic moment is 8.6 μB/f.u. The density is 7.481 g cm⁻³.

It has space group P4/mmm (No. 123), with a = 5.1181 Å, b = 5.1181 Å, c = 3.2903 Å, α = 90.00°, β = 90.00° and γ = 90.00°. The distinct sites, in fractional coordinates, are Tl at (0.0000, 0.0000, 0.0000), Cr at (0.0000, 0.5000, 0.5000) and Br at (0.5000, 0.5000, 0.0000).

---

3) The following is a GGA-PBE calculation of a relaxed TlCr2Br crystal, from the Alexandria database.

The magnetic moment is 0.4 μB/f.u. The density is 7.051 g cm⁻³.

It has space group Imm2 (No. 44), with a = 3.3072 Å, b = 4.7567 Å, c = 11.6249 Å, α = 90.00°, β = 90.00° and γ = 90.00°. The distinct sites, in fractional coordinates, are Tl at (0.0000, 0.0000, 0.0000), Cr at (0.0000, 0.0000, 0.5211), Cr at (0.0000, 0.5000, 0.8527) and Br at (0.0000, 0.5000, 0.2254).

---

4) The following is a GGA-PBE calculation of a relaxed TlCr2Br crystal, from the Alexandria database.

The magnetic moment is 8.8 μB/f.u. The density is 7.420 g cm⁻³.

It has space group Cmmm (No. 65), with a = 6.6056 Å, b = 7.9340 Å, c = 3.3161 Å, α = 90.00°, β = 90.00° and γ = 90.00°. The distinct sites, in fractional coordinates, are Tl at (0.0000, 0.0000, 0.0000), Cr at (0.2500, 0.2500, 0.5000) and Br at (0.0000, 0.5000, 0.0000).

---

Name the least stable of them. 2).

---

1) The following is a GGA-PBE calculation of a relaxed TlCr2Br crystal, from the Alexandria database.

The magnetic moment is 8.1 μB/f.u. The density is 7.082 g cm⁻³.

It has space group P2/m (No. 10), with a = 3.6336 Å, b = 3.3860 Å, c = 7.3991 Å, α = 90.00°, β = 90.09° and γ = 90.00°. The distinct sites, in fractional coordinates, are Tl at (0.0000, 0.0000, 0.0000), Cr at (0.4988, 0.5000, 0.7862) and Br at (0.5000, 0.0000, 0.5000).

---

2) The following is a GGA-PBE calculation of a relaxed TlCr2Br crystal, from the Alexandria database.

The magnetic moment is 9.9 μB/f.u. The density is 6.268 g cm⁻³.

It has space group F-43m (No. 216), with a = 7.4377 Å, b = 7.4377 Å, c = 7.4377 Å, α = 90.00°, β = 90.00° and γ = 90.00°. The distinct sites, in fractional coordinates, are Tl at (0.0000, 0.0000, 0.0000), Cr at (0.0000, 0.0000, 0.5000), Cr at (0.2500, 0.2500, 0.2500) and Br at (0.2500, 0.2500, 0.7500).

---

3) The following is a GGA-PBE calculation of a relaxed TlCr2Br crystal, from the Alexandria database.

The magnetic moment is 8.7 μB/f.u. The density is 7.460 g cm⁻³.

It has space group Fm-3m (No. 225), with a = 7.0184 Å, b = 7.0184 Å, c = 7.0184 Å, α = 90.00°, β = 90.00° and γ = 90.00°. The distinct sites, in fractional coordinates, are Tl at (0.0000, 0.0000, 0.0000), Cr at (0.2500, 0.2500, 0.2500) and Br at (0.0000, 0.0000, 0.5000).

---

4) The following is a GGA-PBE calculation of a relaxed TlCr2Br crystal, from the Alexandria database.

The magnetic moment is 8.8 μB/f.u. The density is 6.868 g cm⁻³.

It has space group Pmmm (No. 47), with a = 3.3925 Å, b = 4.5190 Å, c = 6.1237 Å, α = 90.00°, β = 90.00° and γ = 90.00°. The distinct sites, in fractional coordinates, are Tl at (0.0000, 0.0000, 0.0000), Cr at (0.0000, 0.5000, 0.5000), Cr at (0.5000, 0.5000, 0.0000) and Br at (0.5000, 0.0000, 0.5000).

---

Name the least stable of them. 2).